[1]
First-principles (GGA-PBE) data for crystalline Na5Mg at its relaxed geometry, as listed in the Alexandria database.

Its total magnetic moment is 0.000 μB per formula unit. As for the crystal system: orthorhombic. The calculated total energy comes out at -15.65 eV for the cell shown. The value obtained for the energy of formation from the pure elements is 0.37 eV/f.u.

The structure belongs to space group Cmmm (No. 65); the cell edges are 4.879, 15.244 and 5.461 Å and the angles 90.00°, 90.00° and 90.00°. Symmetry generates all atoms from Na at (0.000, 0.000, 0.000), Na at (0.000, 0.160, 0.500), Na at (0.000, 0.340, 0.000) and Mg at (0.000, 0.500, 0.500).



[2]
First-principles (GGA-PBE) data for crystalline SrAgSeCl at its relaxed geometry, as listed in the Alexandria database.

Its total magnetic moment is 0.000 μB per formula unit. As for the crystal system: trigonal. The calculated total energy comes out at -94.24 eV for the cell shown.

The structure belongs to space group R-3m (No. 166, hexagonal axes); the cell edges are 4.4953, 4.4953 and 38.0942 Å and the angles 90.00°, 90.00° and 120.00°. Symmetry generates all atoms from Sr at (0.0000, 0.0000, 0.0959), Ag at (0.0000, 0.0000, 0.3099), Se at (0.0000, 0.0000, 0.3828) and Cl at (0.0000, 0.0000, 0.2022).



[3]
First-principles (GGA-PBE) data for crystalline ReRhBr2 at its relaxed geometry, as listed in the Alexandria database.

Its total magnetic moment is 0.546 μB per formula unit. As for the crystal system: orthorhombic. The value obtained for the energy above the most stable polymorph in this dataset is 409 meV per atom. The calculated total energy comes out at -40.96 eV for the cell shown.

The structure belongs to space group Cmm2 (No. 35); the cell edges are 2.948, 5.491 and 10.191 Å and the angles 90.00°, 90.00° and 90.00°. Symmetry generates all atoms from Re at (0.000, 0.000, 0.000), Rh at (0.000, 0.500, 0.795), Br at (0.000, 0.000, 0.570) and Br at (0.000, 0.500, 0.209).



[4]
First-principles (GGA-PBE) data for crystalline NaSi7Ir3 at its relaxed geometry, as listed in the Alexandria database.

Its total magnetic moment is 0.000 μB per formula unit. As for the crystal system: trigonal. The calculated total energy comes out at -425.18 eV for the cell shown.

The structure belongs to space group R-3c (No. 167, hexagonal axes); the cell edges are 7.6465, 7.6465 and 19.9056 Å and the angles 90.00°, 90.00° and 120.00°. Symmetry generates all atoms from Na at (0.0000, 0.0000, 0.0000), Si at (0.0000, 0.0000, 0.2500), Si at (0.0130, 0.2017, 0.1362) and Ir at (0.0000, 0.3202, 0.2500).



[5]
First-principles (GGA-PBE) data for crystalline RePb3 at its relaxed geometry, as listed in the Alexandria database.

Its total magnetic moment is 0.001 μB per formula unit. As for the crystal system: tetragonal. The value obtained for the energy above the most stable polymorph in this dataset is 263 meV per atom. The calculated total energy comes out at -20.84 eV for the cell shown. The value obtained for the energy of formation from the pure elements is 2.73 eV/f.u.

The structure belongs to space group P4/mmm (No. 123); the cell edges are 3.410, 3.410 and 8.626 Å and the angles 90.00°, 90.00° and 90.00°. Symmetry generates all atoms from Re at (0.000, 0.000, 0.000), Pb at (0.000, 0.000, 0.500) and Pb at (0.500, 0.500, 0.196).



[6]
First-principles (GGA-PBE) data for crystalline SiP at its relaxed geometry, as listed in the Alexandria database.

Its total magnetic moment is 0.000 μB per formula unit. As for the crystal system: monoclinic. The calculated total energy comes out at -62.20 eV for the cell shown.

The structure belongs to space group Cm (No. 8); the cell edges are 8.962, 3.414 and 7.421 Å and the angles 90.00°, 112.91° and 90.00°. Symmetry generates all atoms from Si at (0.000, 0.000, 0.000), Si at (0.014, 0.500, 0.256), Si at (0.211, 0.000, 0.715), P at (0.180, 0.500, 0.928), P at (0.260, 0.500, 0.522) and P at (0.463, 0.500, 0.443).



[7]
First-principles (GGA-PBE) data for crystalline CaTm5Cd4 at its relaxed geometry, as listed in the Alexandria database.

Its total magnetic moment is 0.000 μB per formula unit. As for the crystal system: tetragonal. The calculated total energy comes out at -30.08 eV for the cell shown. The value obtained for the energy of formation from the pure elements is -2.06 eV/f.u.

The structure belongs to space group P4/mmm (No. 123); the cell edges are 3.721, 3.721 and 19.843 Å and the angles 90.00°, 90.00° and 90.00°. Symmetry generates all atoms from Ca at (0.000, 0.000, 0.000), Tm at (0.500, 0.500, 0.135), Tm at (0.500, 0.500, 0.316), Tm at (0.500, 0.500, 0.500), Cd at (0.000, 0.000, 0.223) and Cd at (0.000, 0.000, 0.408).



[8]
First-principles (GGA-PBE) data for crystalline GaNi3Sn5 at its relaxed geometry, as listed in the Alexandria database.

Its total magnetic moment is 0.000 μB per formula unit. As for the crystal system: monoclinic. The calculated total energy comes out at -166.38 eV for the cell shown. The value obtained for the energy of formation from the pure elements is -1.21 eV/f.u.

The structure belongs to space group C2/m (No. 12); the cell edges are 11.034, 8.697 and 9.260 Å and the angles 90.00°, 118.89° and 90.00°. Symmetry generates all atoms from Ga at (0.086, 0.000, 0.303), Ni at (0.000, 0.000, 0.000), Ni at (0.000, 0.000, 0.500), Ni at (0.167, 0.500, 0.174), Ni at (0.186, 0.500, 0.679), Sn at (0.000, 0.288, 0.000), Sn at (0.064, 0.500, 0.363), Sn at (0.168, 0.214, 0.656) and Sn at (0.233, 0.000, 0.015).